The following is a DFT calculation (GGA-PBE) of an optimized crystal structure of ErRe3O12.

a = 9.734 Å, b = 9.734 Å, c = 9.734 Å
α = 66.22°, β = 66.22°, γ = 66.22°
Positions (direct):
O  0.306  0.667  0.549
O  0.167  0.806  0.049
O  0.945  0.423  0.556
O  0.989  0.660  0.688
Re  0.107  0.282  0.607
O  0.577  0.251  0.369
O  0.751  0.077  0.869
O  0.489  0.188  0.160
O  0.423  0.556  0.945
Re  0.607  0.107  0.782
Re  0.107  0.782  0.607
O  0.251  0.369  0.577
O  0.556  0.945  0.423
O  0.049  0.167  0.806
O  0.369  0.577  0.251
Re  0.282  0.607  0.107
Re  0.782  0.607  0.107
O  0.077  0.869  0.751
O  0.806  0.049  0.167
O  0.660  0.688  0.989
O  0.923  0.445  0.056
O  0.549  0.306  0.667
O  0.188  0.160  0.489
Er  0.461  0.461  0.461
O  0.056  0.923  0.445
O  0.160  0.489  0.188
O  0.869  0.751  0.077
O  0.445  0.056  0.923
Re  0.607  0.107  0.282
O  0.688  0.989  0.660
Er  0.961  0.961  0.961
O  0.667  0.549  0.306

Values from the calculation:
**Uncorrected energy**: -8.284 eV per atom
**Formation energy without anion corrections**: -1.946 eV per atom
**Space-group type**: No. 161

The following is a DFT calculation (GGA-PBE) of an optimized crystal structure of Sr2ErRe3O12.

a = 6.793 Å, b = 6.793 Å, c = 6.793 Å
α = 66.16°, β = 66.16°, γ = 66.16°
Positions (direct):
O  0.098  0.719  0.719
Sr  0.624  0.624  0.624
O  0.719  0.098  0.719
O  0.281  0.902  0.281
O  0.405  0.869  0.869
O  0.281  0.281  0.902
O  0.869  0.869  0.405
O  0.131  0.131  0.595
Er  0.000  0.000  0.000
O  0.595  0.131  0.131
Re  0.000  0.000  0.500
Re  0.500  0.000  0.000
O  0.869  0.405  0.869
Sr  0.376  0.376  0.376
O  0.131  0.595  0.131
Re  0.000  0.500  0.000
O  0.719  0.719  0.098
O  0.902  0.281  0.281

Values from the calculation:
**Uncorrected energy**: -7.891 eV per atom
**Formation energy without anion corrections**: -2.071 eV per atom
**Space-group type**: No. 166